VASP calculation (PBE-GGA) on CeErAg2 after structural relaxation.

The value obtained for the calculated volume is 24.8 Å³ per atom. As for the formation energy: -173 meV/atom.

It has space group Fm-3m (No. 225), with a = 7.3473 Å, b = 7.3473 Å, c = 7.3473 Å, α = 90.00°, β = 90.00° and γ = 90.00°. The asymmetric unit holds Ce at (0.0000, 0.0000, 0.0000), Er at (0.0000, 0.0000, 0.5000) and Ag at (0.2500, 0.2500, 0.2500).